The following is a PBE-GGA calculation of a geometry-optimized Pr2NdDy6Y3 structure, from Alexandria via LeMat-Bulk.

Output
Energy of formation: 0.02 eV per atom
SG: C2/m (12)

Lattice parameters (Å, degrees): 6.224 6.224 11.882 94.99 94.99 119.97
Positions (direct):
Pr (0.167, 0.833, 0.000)
Pr (0.833, 0.167, 0.000)
Nd (0.500, 0.500, 0.000)
Dy (0.082, 0.415, 0.747)
Dy (0.252, 0.252, 0.253)
Dy (0.415, 0.082, 0.747)
Dy (0.585, 0.918, 0.253)
Dy (0.748, 0.748, 0.747)
Dy (0.918, 0.585, 0.253)
Y (0.000, 0.000, 0.500)
Y (0.333, 0.667, 0.500)
Y (0.667, 0.333, 0.500)